(1)
KHf4S8: optimized geometry, GGA-PBE.

Cell: 7.248 7.248 8.998 Å, 66.25 66.25 60.00°
Fractional positions:
K 0.500 0.500 0.500
Hf 0.000 0.500 0.000
Hf 0.500 0.500 0.000
Hf 0.500 0.000 0.000
Hf 0.000 0.000 0.000
S 0.730 0.228 0.814
S 0.772 0.270 0.186
S 0.270 0.772 0.186
S 0.772 0.772 0.186
S 0.728 0.728 0.816
S 0.272 0.272 0.184
S 0.228 0.228 0.814
S 0.228 0.730 0.814

Summary:
Its space group is R-3m (166). The value obtained for the total energy is -7.31 eV/atom. The calculation puts the energy above the lowest structure with this stoichiometry at 0 meV per atom. As for the magnetization: 0.00 μB/atom.

=====

(2)
SiAs2Au: optimized geometry, GGA-PBE.

Cell: 2.849 2.849 9.369 Å, 90.00 90.00 107.78°
Fractional positions:
As 0.000 0.000 0.979
As 0.000 0.000 0.521
Au 0.500 0.500 0.250
Si 0.500 0.500 0.750

Summary:
Its space group is Cmmm (65). The value obtained for the total energy is -4.09 eV/atom. As for the magnetization: 0.00 μB/atom.

=====

(3)
HfCo2Pt: optimized geometry, GGA-PBE.

Cell: 3.781 3.781 9.354 Å, 78.34 78.34 90.00°
Fractional positions:
Co 0.677 0.125 0.250
Co 0.073 0.625 0.250
Co 0.375 0.323 0.750
Co 0.875 0.927 0.750
Hf 0.500 0.500 0.000
Hf 0.250 0.750 0.500
Pt 0.000 0.000 0.000
Pt 0.750 0.250 0.500

Summary:
Its space group is I-42d (122). The value obtained for the total energy is -7.58 eV/atom. As for the magnetization: 0.58 μB/atom.

=====

(4)
Pr2HfCu: optimized geometry, GGA-PBE.

Cell: 3.297 3.297 11.375 Å, 81.67 81.67 60.00°
Fractional positions:
Pr 0.096 0.096 0.711
Pr 0.904 0.904 0.289
Hf 0.000 0.000 0.000
Cu 0.500 0.500 0.500

Summary:
Its space group is R-3m (166). The value obtained for the total energy is -5.43 eV/atom. The calculation puts the energy above the lowest structure with this stoichiometry at 392 meV per atom. As for the magnetization: 0.00 μB/atom.

=====

(5)
Ho2ScIn: optimized geometry, GGA-PBE.

Cell: 4.708 4.732 4.732 Å, 90.00 90.00 90.00°
Fractional positions:
Sc 0.500 0.000 0.000
Ho 0.000 0.000 0.500
Ho 0.000 0.500 0.000
In 0.500 0.500 0.500

Summary:
Its space group is P4/mmm (123). The value obtained for the total energy is -4.82 eV/atom. The calculation puts the energy above the lowest structure with this stoichiometry at 0 meV per atom. As for the magnetization: 0.17 μB/atom.

=====

(6)
Ac3PuO6F2: optimized geometry, GGA-PBE.

Cell: 5.016 7.216 7.369 Å, 119.31 86.85 90.00°
Fractional positions:
Ac 0.000 0.500 0.000
Ac 0.500 0.500 0.500
Ac 0.500 0.000 0.500
Pu 0.500 0.000 0.000
O 0.710 0.307 0.145
O 0.290 0.693 0.855
O 0.693 0.847 0.694
O 0.307 0.153 0.306
O 0.290 0.163 0.855
O 0.710 0.837 0.145
F 0.209 0.675 0.351
F 0.791 0.325 0.649

Summary:
Its space group is C2/m (12). The value obtained for the total energy is -8.20 eV/atom. As for the magnetization: 0.25 μB/atom.

=====

(7)
Nd4DyMg3: optimized geometry, GGA-PBE.

Cell: 3.857 5.606 11.283 Å, 90.00 90.00 90.00°
Fractional positions:
Mg 0.500 0.000 0.250
Mg 0.500 0.500 0.500
Mg 0.500 0.000 0.750
Nd 0.000 0.000 0.500
Nd 0.000 0.500 0.740
Nd 0.000 0.000 0.000
Nd 0.000 0.500 0.260
Dy 0.500 0.500 0.000

Summary:
Its space group is Pmmm (47). The value obtained for the total energy is -3.60 eV/atom. As for the magnetization: 0.00 μB/atom.

=====

(8)
Sr2Zn4CdSn3: optimized geometry, GGA-PBE.

Cell: 4.573 4.573 11.689 Å, 90.00 90.00 90.00°
Fractional positions:
Sr 0.500 0.000 0.244
Sr 0.000 0.500 0.756
Zn 0.500 0.500 0.000
Zn 0.000 0.000 0.000
Zn 0.500 0.000 0.640
Zn 0.000 0.500 0.360
Cd 0.500 0.500 0.500
Sn 0.000 0.000 0.500
Sn 0.500 0.000 0.867
Sn 0.000 0.500 0.133

Summary:
Its space group is P-4m2 (115). The value obtained for the total energy is -2.48 eV/atom. As for the magnetization: 0.00 μB/atom.

=====

(9)
ScBeB2Rh: optimized geometry, GGA-PBE.

Cell: 4.059 4.439 4.059 Å, 90.00 90.00 90.00°
Fractional positions:
Sc 0.000 0.000 0.000
Be 0.000 0.500 0.000
B 0.000 0.000 0.500
B 0.500 0.000 0.000
Rh 0.500 0.500 0.500

Summary:
Its space group is P4/mmm (123). The value obtained for the total energy is -4.14 eV/atom. The calculation puts the energy above the lowest structure with this stoichiometry at 1276 meV per atom. As for the magnetization: 0.00 μB/atom.

=====

(10)
Zr2NbVBr: optimized geometry, GGA-PBE.

Cell: 4.926 4.712 4.926 Å, 90.00 90.00 90.00°
Fractional positions:
Nb 0.000 0.500 0.000
Br 0.000 0.000 0.000
Zr 0.000 0.000 0.500
Zr 0.500 0.000 0.000
V 0.500 0.500 0.500

Summary:
Its space group is P4/mmm (123). The value obtained for the total energy is -6.62 eV/atom. As for the magnetization: 0.00 μB/atom.

=====

(11)
PmSc6Te8: optimized geometry, GGA-PBE.

Cell: 8.340 8.340 8.340 Å, 60.00 60.00 60.00°
Fractional positions:
Pm 0.000 0.000 0.000
Sc 0.000 0.500 0.500
Sc 0.500 0.000 0.000
Sc 0.500 0.500 0.000
Sc 0.000 0.000 0.500
Sc 0.000 0.500 0.000
Sc 0.500 0.000 0.500
Te 0.750 0.750 0.750
Te 0.250 0.250 0.250
Te 0.735 0.265 0.265
Te 0.265 0.735 0.735
Te 0.265 0.265 0.735
Te 0.735 0.735 0.265
Te 0.735 0.265 0.735
Te 0.265 0.735 0.265

Summary:
Its space group is Fm-3m (225). The value obtained for the total energy is -5.73 eV/atom. As for the magnetization: 0.00 μB/atom.

=====

(12)
Cs2CuIrPd: optimized geometry, GGA-PBE.

Cell: 6.329 4.682 6.329 Å, 90.00 90.00 90.00°
Fractional positions:
Cs 0.000 0.000 0.500
Cs 0.500 0.000 0.000
Ir 0.000 0.000 0.000
Cu 0.000 0.500 0.000
Pd 0.500 0.500 0.500

Summary:
Its space group is P4/mmm (123). The value obtained for the total energy is -2.93 eV/atom. As for the magnetization: 0.00 μB/atom.

=====

Q: Which of these has the highest magnetization?
A: HfCo2Pt

=====

Q: Among the records above, which one has the highest total energy?
A: Sr2Zn4CdSn3

=====

Q: The highest magnetization belongs to which entry?
A: HfCo2Pt

=====

Q: What is the total energy in the eighth record?
A: -2.48 eV/atom